TbBeIr: optimized geometry, PBE.

Cell: 6.7950 4.1345 7.2746 Å, 90.00 90.00 90.00°
Space group Pnma (No. 62)
Inequivalent atoms, fractional coordinates:
Tb 0.0030 0.2500 0.1927 [4 per cell]
Be 0.1770 0.2500 0.5895 [4 per cell]
Ir 0.1788 0.7500 0.4279 [4 per cell]

**Formation energy**: -634 meV per atom
**N(E_F)**: 0.450 states/eV per atom
**ρ**: 11.7 g cm⁻³

---

Th2GaSi3Ni4: optimized geometry, PBE.

Cell: 4.0939 4.0939 9.6312 Å, 90.00 90.00 90.00°
Space group P-4m2 (No. 115)
Inequivalent atoms, fractional coordinates:
Th 0.0000 0.5000 0.2430 [2 per cell]
Ga 0.0000 0.0000 0.5000 [1 per cell]
Si 0.0000 0.5000 0.8746 [2 per cell]
Si 0.5000 0.5000 0.5000 [1 per cell]
Ni 0.0000 0.0000 0.0000 [1 per cell]
Ni 0.0000 0.5000 0.6309 [2 per cell]
Ni 0.5000 0.5000 0.0000 [1 per cell]

**N(E_F)**: 0.544 states/eV per atom
**VASP energy**: -6.54 eV/atom
**ρ**: 8.8 g cm⁻³

---

HgIrBr6: optimized geometry, PBE.

Cell: 7.0975 11.7853 7.0293 Å, 90.00 113.06 90.00°
Space group C2/m (No. 12)
Inequivalent atoms, fractional coordinates:
Hg 0.0000 0.0000 0.0000 [2 per cell]
Ir 0.0000 0.5000 0.5000 [2 per cell]
Br 0.2134 0.5000 0.2957 [4 per cell]
Br 0.2247 0.3505 0.7320 [8 per cell]

**N(E_F)**: 0.774 states/eV per atom
**VASP energy**: -2.65 eV/atom
**ρ**: 5.4 g cm⁻³

---

PuHf5Zn4: optimized geometry, PBE.

Cell: 3.2603 3.2603 18.0306 Å, 90.00 90.00 90.00°
Space group P4/mmm (No. 123)
Inequivalent atoms, fractional coordinates:
Pu 0.0000 0.0000 0.0000 [1 per cell]
Hf 0.5000 0.5000 0.1229 [2 per cell]
Hf 0.5000 0.5000 0.3132 [2 per cell]
Hf 0.5000 0.5000 0.5000 [1 per cell]
Zn 0.0000 0.0000 0.2181 [2 per cell]
Zn 0.0000 0.0000 0.4066 [2 per cell]

**Formation energy**: -124 meV per atom
**N(E_F)**: 0.612 states/eV per atom
**ρ**: 12.1 g cm⁻³

---

Tb3Nd2HoTe6: optimized geometry, PBE.

Cell: 19.2234 4.3774 8.8747 Å, 90.00 103.05 90.00°
Space group C2/m (No. 12)
Inequivalent atoms, fractional coordinates:
Tb 0.0000 0.0000 0.0000 [2 per cell]
Tb 0.1726 0.5000 0.3348 [4 per cell]
Nd 0.1701 0.5000 0.8372 [4 per cell]
Ho 0.0000 0.0000 0.5000 [2 per cell]
Te 0.0034 0.5000 0.2543 [4 per cell]
Te 0.1625 0.0000 0.0889 [4 per cell]
Te 0.1629 0.0000 0.5747 [4 per cell]

**N(E_F)**: 0.561 states/eV per atom
**VASP energy**: -5.24 eV/atom
**ρ**: 7.7 g cm⁻³

---

La2PmTmBi4: optimized geometry, PBE.

Cell: 7.9663 4.6154 7.9873 Å, 90.00 109.55 90.00°
Space group P2/m (No. 10)
Inequivalent atoms, fractional coordinates:
La 0.0000 0.0000 0.0000 [1 per cell]
La 0.0000 0.5000 0.5000 [1 per cell]
Pm 0.5000 0.0000 0.5000 [1 per cell]
Tm 0.5000 0.5000 0.0000 [1 per cell]
Bi 0.2594 0.5000 0.2488 [2 per cell]
Bi 0.2626 0.0000 0.7587 [2 per cell]

**Formation energy**: -953 meV per atom
**N(E_F)**: 0.137 states/eV per atom
**ρ**: 8.6 g cm⁻³

---

CaP2Pd6: optimized geometry, PBE.

Cell: 5.9460 5.9460 5.7497 Å, 90.00 90.00 120.00°
Space group P6/mmm (No. 191)
Inequivalent atoms, fractional coordinates:
Ca 0.0000 0.0000 0.0000 [1 per cell]
P 0.3333 0.6667 0.5000 [2 per cell]
Pd 0.0000 0.5000 0.2348 [6 per cell]

**Formation energy**: -504 meV per atom
**N(E_F)**: 0.492 states/eV per atom
**ρ**: 7.0 g cm⁻³

---

Tl2CuAg: optimized geometry, PBE.

Cell: 4.4864 4.4864 19.0235 Å, 90.00 90.00 90.00°
Space group I-42d (No. 122)
Inequivalent atoms, fractional coordinates:
Tl 0.2393 0.2500 0.1250 [8 per cell]
Cu 0.0000 0.0000 0.0000 [4 per cell]
Ag 0.0000 0.0000 0.5000 [4 per cell]

**Formation energy**: 362 meV per atom
**N(E_F)**: 0.417 states/eV per atom
**ρ**: 10.1 g cm⁻³

---

LiTbLuMn: optimized geometry, PBE.

Cell: 7.0339 7.0339 7.0339 Å, 90.00 90.00 90.00°
Space group F-43m (No. 216)
Inequivalent atoms, fractional coordinates:
Li 0.0000 0.0000 0.0000 [4 per cell]
Tb 0.2500 0.2500 0.7500 [4 per cell]
Lu 0.2500 0.2500 0.2500 [4 per cell]
Mn 0.0000 0.0000 0.5000 [4 per cell]

**Formation energy**: 111 meV per atom
**N(E_F)**: 0.907 states/eV per atom
**ρ**: 7.6 g cm⁻³

---

TbFeTcGe3: optimized geometry, PBE.

Cell: 7.6971 10.7960 5.6370 Å, 90.00 90.00 90.00°
Space group Cmcm (No. 63)
Inequivalent atoms, fractional coordinates:
Tb 0.0000 0.2430 0.2500 [4 per cell]
Fe 0.0000 0.0321 0.7500 [4 per cell]
Tc 0.0000 0.4493 0.7500 [4 per cell]
Ge 0.0000 0.2349 0.7500 [4 per cell]
Ge 0.2411 0.0000 0.0000 [8 per cell]

**Formation energy**: -156 meV per atom
**N(E_F)**: 0.567 states/eV per atom
**ρ**: 7.5 g cm⁻³

---

Y2TcRu: optimized geometry, PBE.

Cell: 3.1431 3.1431 8.8365 Å, 90.00 90.00 90.00°
Space group P4mm (No. 99)
Inequivalent atoms, fractional coordinates:
Y 0.0000 0.0000 0.0000 [1 per cell]
Y 0.5000 0.5000 0.3718 [1 per cell]
Tc 0.5000 0.5000 0.7634 [1 per cell]
Ru 0.0000 0.0000 0.6046 [1 per cell]

**Formation energy**: 53 meV per atom
**N(E_F)**: 0.912 states/eV per atom
**ρ**: 7.2 g cm⁻³

---

Li5IrN2: optimized geometry, PBE.

Cell: 4.0072 4.0072 13.3022 Å, 90.00 90.00 120.00°
Space group P6_3/mmc (No. 194)
Inequivalent atoms, fractional coordinates:
Li 0.0000 0.0000 0.1357 [4 per cell]
Li 0.3333 0.6667 0.0433 [4 per cell]
Li 0.3333 0.6667 0.2500 [2 per cell]
Ir 0.3333 0.6667 0.7500 [2 per cell]
N 0.3333 0.6667 0.6042 [4 per cell]

**N(E_F)**: 0.408 states/eV per atom
**VASP energy**: -4.59 eV/atom
**ρ**: 4.6 g cm⁻³